LiLa2Mg: relaxed, PBE.

* distance to the lowest polymorph of the same formula: 0.086 eV/atom
* size of the total moment: 0.0 μB/f.u.
* electronic total energy: -3.257 eV/atom

```
data_LiLa2Mg
_cell_length_a 3.513
_cell_length_b 3.513
_cell_length_c 11.600
_cell_angle_alpha 81.29
_cell_angle_beta 81.29
_cell_angle_gamma 60.00
_space_group_name_H-M_alt 'P 1'
_space_group_IT_number 1
loop_
_space_group_symop_operation_xyz
'x,y,z'
loop_
_atom_site_label
_atom_site_type_symbol
_atom_site_fract_x
_atom_site_fract_y
_atom_site_fract_z
Li1 Li 0.667 0.667 0.000
La1 La 0.083 0.083 0.750
La2 La 0.250 0.250 0.250
Mg1 Mg 0.500 0.500 0.500
```